1.
Computed, not measured: a geometry-optimized MnGePN structure at the GGA-PBE level of DFT.

Geometry as POSCAR:
```
MnGePN
1.0
3.747 0.000 0.000
0.000 2.681 0.000
-1.019 0.000 5.443
Mn Ge P N
1 1 1 1
Direct
0.000 0.000 0.000
0.561 0.500 0.247
0.564 0.500 0.689
0.300 0.000 0.732
```

Values from the calculation:
Theoretical density ... 5.2 g cm⁻³
Symmetry ... No. 6
Formation energy without anion corrections ... 0.07 eV/atom
Offset from the most stable computed form ... 7.9 kJ/mol of atoms



2.
Computed, not measured: a geometry-optimized LiCrCl2 structure at the GGA-PBE level of DFT.

Geometry as POSCAR:
```
LiCrCl2
1.0
1.865 1.077 6.301
-1.865 1.077 6.301
0.000 -2.153 6.301
Li Cr Cl
1 1 2
Direct
0.000 0.000 0.000
0.500 0.500 0.500
0.256 0.256 0.256
0.744 0.744 0.744
```

Values from the calculation:
Theoretical density ... 2.8 g cm⁻³
Symmetry ... No. 166
Formation energy without anion corrections ... -0.85 eV/atom
Offset from the most stable computed form ... 17.5 kJ/mol of atoms



3.
Computed, not measured: a geometry-optimized LaPm7Cd2 structure at the GGA-PBE level of DFT.

Geometry as POSCAR:
```
LaPm7Cd2
1.0
4.564 -7.903 0.000
4.564 7.903 0.000
0.000 0.000 5.490
La Pm Cd
1 7 2
Direct
0.000 0.000 0.000
0.062 0.302 0.500
0.232 0.768 0.000
0.302 0.062 0.500
0.500 0.500 0.500
0.698 0.938 0.500
0.768 0.232 0.000
0.938 0.698 0.500
0.303 0.697 0.500
0.697 0.303 0.500
```

Values from the calculation:
Theoretical density ... 5.8 g cm⁻³
Symmetry ... No. 65
Raw total energy ... -36.28 eV for the cell shown



4.
Computed, not measured: a geometry-optimized CdPb2F8 structure at the GGA-PBE level of DFT.

Geometry as POSCAR:
```
CdPb2F8
1.0
5.041 -3.684 0.000
5.041 3.684 0.000
-1.444 0.000 4.780
Cd Pb F
1 2 8
Direct
0.000 0.000 0.000
0.325 0.325 0.585
0.675 0.675 0.415
0.040 0.648 0.726
0.147 0.147 0.757
0.352 0.960 0.274
0.435 0.435 0.233
0.565 0.565 0.767
0.648 0.040 0.726
0.853 0.853 0.243
0.960 0.352 0.274
```

Values from the calculation:
Theoretical density ... 6.3 g cm⁻³
Symmetry ... No. 12
Formation energy without anion corrections ... -2.06 eV/atom
Offset from the most stable computed form ... 0.0 kJ/mol of atoms



5.
Computed, not measured: a geometry-optimized LiS structure at the GGA-PBE level of DFT.

Geometry as POSCAR:
```
LiS
1.0
0.000 4.349 6.286
3.272 0.000 6.286
3.272 4.349 0.000
Li S
4 4
Direct
0.052 0.052 0.698
0.302 0.302 0.948
0.698 0.698 0.052
0.948 0.948 0.302
0.038 0.712 0.712
0.288 0.962 0.962
0.712 0.038 0.038
0.962 0.288 0.288
```

Values from the calculation:
Theoretical density ... 1.4 g cm⁻³
Symmetry ... No. 70
Formation energy without anion corrections ... -0.88 eV/atom
Offset from the most stable computed form ... 2.3 kJ/mol of atoms



6.
Computed, not measured: a geometry-optimized Pm2Cu2PdPt5 structure at the GGA-PBE level of DFT.

Geometry as POSCAR:
```
Pm2Cu2PdPt5
1.0
9.342 0.000 0.000
0.000 9.342 0.000
0.000 0.000 4.022
Pm Cu Pd Pt
4 4 2 10
Direct
0.182 0.318 0.000
0.318 0.818 0.000
0.682 0.182 0.000
0.818 0.682 0.000
0.117 0.617 0.000
0.383 0.117 0.000
0.617 0.883 0.000
0.883 0.383 0.000
0.000 0.000 0.000
0.500 0.500 0.000
0.000 0.500 0.500
0.063 0.793 0.500
0.207 0.063 0.500
0.293 0.563 0.500
0.437 0.293 0.500
0.500 0.000 0.500
0.563 0.707 0.500
0.707 0.437 0.500
0.793 0.937 0.500
0.937 0.207 0.500
```

Values from the calculation:
Theoretical density ... 14.2 g cm⁻³
Symmetry ... No. 127
Raw total energy ... -120.28 eV for the cell shown



7.
Computed, not measured: a geometry-optimized BaTbMgTl structure at the GGA-PBE level of DFT.

Geometry as POSCAR:
```
BaTbMgTl
1.0
0.000 4.052 4.052
4.052 0.000 4.052
4.052 4.052 0.000
Ba Tb Mg Tl
1 1 1 1
Direct
0.000 0.000 0.000
0.500 0.500 0.500
0.750 0.750 0.750
0.250 0.250 0.250
```

Values from the calculation:
Theoretical density ... 6.6 g cm⁻³
Symmetry ... No. 216
Raw total energy ... -11.00 eV for the cell shown



8.
Computed, not measured: a geometry-optimized CaMnPb2 structure at the GGA-PBE level of DFT.

Geometry as POSCAR:
```
CaMnPb2
1.0
4.843 0.000 0.000
0.000 4.843 0.000
0.000 0.000 4.478
Ca Mn Pb
1 1 2
Direct
0.000 0.000 0.000
0.500 0.500 0.000
0.000 0.500 0.500
0.500 0.000 0.500
```

Values from the calculation:
Theoretical density ... 8.1 g cm⁻³
Symmetry ... No. 123
Raw total energy ... -18.51 eV for the cell shown



9.
Computed, not measured: a geometry-optimized Cs2Tl5Bi4 structure at the GGA-PBE level of DFT.

Geometry as POSCAR:
```
Cs2Tl5Bi4
1.0
0.000 6.176 9.872
3.747 0.000 9.872
3.747 6.176 0.000
Cs Tl Bi
2 5 4
Direct
0.146 0.146 0.854
0.854 0.854 0.146
0.000 0.000 0.500
0.250 0.250 0.250
0.500 0.500 0.000
0.500 0.500 0.500
0.750 0.750 0.750
0.229 0.485 0.515
0.485 0.229 0.771
0.515 0.771 0.229
0.771 0.515 0.485
```

Values from the calculation:
Theoretical density ... 7.7 g cm⁻³
Symmetry ... No. 69
Raw total energy ... -30.19 eV for the cell shown



10.
Computed, not measured: a geometry-optimized Sc4Bi2Pb structure at the GGA-PBE level of DFT.

Geometry as POSCAR:
```
Sc4Bi2Pb
1.0
0.000 6.572 6.585
4.541 0.000 6.585
4.541 6.572 0.000
Sc Bi Pb
8 4 2
Direct
0.121 0.317 0.317
0.255 0.683 0.683
0.317 0.121 0.745
0.317 0.745 0.121
0.683 0.255 0.879
0.683 0.879 0.255
0.745 0.317 0.317
0.879 0.683 0.683
0.000 0.000 0.000
0.000 0.000 0.500
0.000 0.500 0.000
0.500 0.000 0.000
0.375 0.375 0.375
0.625 0.625 0.625
```

Values from the calculation:
Theoretical density ... 6.8 g cm⁻³
Symmetry ... No. 70
Offset from the most stable computed form ... 0.0 kJ/mol of atoms



11.
Computed, not measured: a geometry-optimized Na2InPCO7 structure at the GGA-PBE level of DFT.

Geometry as POSCAR:
```
Na2InPCO7
1.0
5.325 0.000 0.000
0.000 6.805 0.000
-0.248 0.000 9.245
Na In P C O
4 2 2 2 14
Direct
0.234 0.002 0.287
0.234 0.498 0.287
0.766 0.502 0.713
0.766 0.998 0.713
0.218 0.250 0.866
0.782 0.750 0.134
0.277 0.750 0.923
0.723 0.250 0.077
0.271 0.250 0.581
0.729 0.750 0.419
0.047 0.250 0.637
0.178 0.750 0.081
0.181 0.567 0.840
0.181 0.933 0.840
0.309 0.250 0.447
0.428 0.250 0.067
0.462 0.250 0.678
0.538 0.750 0.322
0.572 0.750 0.933
0.691 0.750 0.553
0.819 0.067 0.160
0.819 0.433 0.160
0.822 0.250 0.919
0.953 0.750 0.363
```

Values from the calculation:
Theoretical density ... 3.1 g cm⁻³
Symmetry ... No. 11
Formation energy without anion corrections ... -1.91 eV/atom



12.
Computed, not measured: a geometry-optimized K2TaCu structure at the GGA-PBE level of DFT.

Geometry as POSCAR:
```
K2TaCu
1.0
-1.426 3.194 6.612
1.426 -3.194 6.612
1.426 3.194 -6.612
K Ta Cu
2 1 1
Direct
0.000 0.000 0.000
0.700 0.200 0.500
0.307 0.807 0.500
0.467 0.467 0.000
```

Values from the calculation:
Theoretical density ... 4.4 g cm⁻³
Symmetry ... No. 44
Offset from the most stable computed form ... 27.2 kJ/mol of atoms